# 1
## Sr2P (meta-GGA SCAN)

Data for Sr2P at its PBEsol-relaxed geometry.

a b c (Å): 4.4253 7.1414 7.1556
angles (deg): 90.00 90.00 90.00
Closest atoms and distances in Å follow each position.
Atoms (fractional coordinates):
1 P 0.5000 0.5000 0.5000  6 Sr 3.01-3.02
2 Sr 0.0000 0.7040 0.3014  3 P 3.01-3.02
3 P 0.0000 0.0000 0.0000  6 Sr 3.01-3.02
4 Sr 0.5000 0.2040 0.1986  3 P 3.01-3.02
5 Sr 0.0000 0.2960 0.6986  3 P 3.01-3.02
6 Sr 0.5000 0.7960 0.8014  3 P 3.01-3.02

**Final energy**: -19.2987 eV/atom
**Energy relative to the elements**: -982 meV/atom
**Crystal system**: orthorhombic
**Symmetry**: Pnnm



# 2
## TlIr (meta-GGA SCAN)

Data for TlIr at its PBEsol-relaxed geometry.

a b c (Å): 3.1818 4.4130 5.4401
angles (deg): 90.00 107.10 90.00
Closest atoms and distances in Å follow each position.
Atoms (fractional coordinates):
1 Tl 0.6516 0.2500 0.8044  7 Ir 2.80-2.89
2 Tl 0.3484 0.7500 0.1956  7 Ir 2.80-2.89
3 Ir 0.9211 0.2500 0.3419  2 Ir 2.75, 7 Tl 2.80-2.89
4 Ir 0.0789 0.7500 0.6581  2 Ir 2.75, 7 Tl 2.80-2.89

**Final energy**: -71.0864 eV/atom
**Energy relative to the elements**: 642 meV/atom
**Crystal system**: monoclinic
**Symmetry**: P2_1/m



# 3
## AlFeN2 (meta-GGA SCAN)

Data for AlFeN2 at its PBEsol-relaxed geometry.

a b c (Å): 2.9125 2.9125 5.8471
angles (deg): 75.58 75.58 60.00
Closest atoms and distances in Å follow each position.
Atoms (fractional coordinates):
1 N 0.1036 0.1036 0.6893  1 Fe 1.74
2 N 0.8964 0.8964 0.3107  1 Fe 1.74
3 Al 0.5000 0.5000 0.5000  6 N 1.99
4 Fe 0.0000 0.0000 0.0000  2 N 1.74

**Final energy**: -11.3093 eV/atom
**Crystal system**: trigonal
**Symmetry**: R-3m



# 4
## YCd5 (meta-GGA SCAN)

Data for YCd5 at its PBEsol-relaxed geometry.

a b c (Å): 4.8082 4.9288 6.4314
angles (deg): 95.92 90.00 119.19
Closest atoms and distances in Å follow each position.
Atoms (fractional coordinates):
1 Cd 0.3572 0.7144 0.2492  5 Cd 2.82-3.07
2 Cd 0.6859 0.3718 0.2518  4 Cd 2.82-2.97
3 Cd 0.3141 0.6282 0.7482  4 Cd 2.82-2.97
4 Y 0.0000 0.0000 0.0000  14 Cd 3.21-3.31
5 Cd 0.0000 0.0000 0.5000  6 Cd 2.97-3.07, 2 Y 3.22
6 Cd 0.6428 0.2856 0.7508  5 Cd 2.82-3.07

**Final energy**: -30.2588 eV/atom
**Energy relative to the elements**: -273 meV/atom
**Crystal system**: monoclinic
**Symmetry**: C2/m



# 5
## Na2Al3As9O28 (meta-GGA SCAN)

Data for Na2Al3As9O28 at its PBEsol-relaxed geometry.

a b c (Å): 7.5268 8.9641 9.4903
angles (deg): 116.41 104.15 100.76
Closest atoms and distances in Å follow each position.
Atoms (fractional coordinates):
1 As 0.7326 0.7140 0.4117  4 O 1.68-1.78
2 As 0.1264 0.6757 0.4318  4 O 1.67-1.76
3 Al 0.0018 0.2490 0.2450  6 O 1.83-1.97
4 Na 0.4926 0.7440 0.7749  3 O 2.36-2.44
5 O 0.5797 0.0307 0.7175  2 As 1.76-1.88
6 O 0.7610 0.1574 0.0506  1 As 1.70
7 O 0.0384 0.7261 0.1190  2 As 1.76-1.77
8 O 0.2390 0.8426 0.9494  1 As 1.70
9 O 0.1637 0.1982 0.1174  1 As 1.69, 1 Al 1.90
10 O 0.3046 0.5879 0.0478  1 As 1.66, 1 Al 1.85
11 O 0.6545 0.7300 0.0763  1 As 1.68, 1 Al 1.87
12 O 0.1679 0.6976 0.6239  1 As 1.69
13 O 0.0407 0.9625 0.7620  1 As 1.67, 1 Al 1.83
14 As 0.2609 0.7752 0.0919  4 O 1.66-1.76
15 O 0.6954 0.4121 0.9522  1 As 1.66, 1 Al 1.85
16 O 0.6575 0.2260 0.5783  2 As 1.75-1.84
17 As 0.5000 0.0000 0.5000  6 O 1.83-1.88
18 As 0.8736 0.3243 0.5682  4 O 1.67-1.76
19 As 0.8684 0.8276 0.0762  4 O 1.67-1.77
20 O 0.9622 0.7841 0.3981  2 As 1.76-1.78
21 As 0.1316 0.1724 0.9238  4 O 1.67-1.77
22 Al 0.5000 0.5000 0.0000  6 O 1.85-1.95
23 O 0.8363 0.8018 0.8826  1 As 1.69, 1 Al 1.90
24 O 0.4165 0.4673 0.7743  1 As 1.68
25 O 0.3425 0.7740 0.4217  2 As 1.75-1.84
26 O 0.9562 0.5297 0.7352  1 As 1.67, 1 Al 1.86
27 O 0.9616 0.2739 0.8810  2 As 1.76-1.77
28 O 0.0378 0.2159 0.6019  2 As 1.76-1.78
29 As 0.7391 0.2248 0.9081  4 O 1.66-1.76
30 O 0.6961 0.9143 0.4595  2 As 1.74-1.83
31 O 0.2385 0.3434 0.4397  1 As 1.69
32 O 0.3039 0.0857 0.5405  2 As 1.74-1.83
33 O 0.0438 0.4703 0.2648  1 As 1.67, 1 Al 1.86
34 O 0.4203 0.9693 0.2825  2 As 1.76-1.88
35 Al 0.9982 0.7510 0.7550  6 O 1.83-1.97
36 O 0.7615 0.6566 0.5603  1 As 1.69
37 O 0.5835 0.5327 0.2257  1 As 1.68
38 O 0.8321 0.3024 0.3761  1 As 1.69
39 Na 0.5074 0.2560 0.2251  3 O 2.36-2.44
40 O 0.3455 0.2700 0.9237  1 As 1.68, 1 Al 1.87
41 As 0.2674 0.2860 0.5883  4 O 1.68-1.78
42 O 0.9593 0.0375 0.2380  1 As 1.67, 1 Al 1.83

**Final energy**: -10.9811 eV/atom
**Crystal system**: triclinic
**Symmetry**: P-1



# 6
## KNa2Tl (meta-GGA SCAN)

Data for KNa2Tl at its PBEsol-relaxed geometry.

a b c (Å): 5.7391 5.7391 5.7391
angles (deg): 60.00 60.00 60.00
Closest atoms and distances in Å follow each position.
Atoms (fractional coordinates):
1 Na 0.7500 0.7500 0.7500  4 K 3.51, 4 Tl 3.51
2 K 0.0000 0.0000 0.0000  8 Na 3.51
3 Tl 0.5000 0.5000 0.5000  8 Na 3.51
4 Na 0.2500 0.2500 0.2500  4 Tl 3.51, 4 K 3.51

**Final energy**: -22.3789 eV/atom
**Energy relative to the elements**: -100 meV/atom
**Crystal system**: cubic
**Symmetry**: Fm-3m



# 7
## K2HgS (meta-GGA SCAN)

Data for K2HgS at its PBEsol-relaxed geometry.

a b c (Å): 5.4088 5.4088 5.4088
angles (deg): 60.00 60.00 60.00
Closest atoms and distances in Å follow each position.
Atoms (fractional coordinates):
1 K 0.2500 0.2500 0.2500  4 S 3.31, 4 Hg 3.31
2 Hg 0.5000 0.5000 0.5000  8 K 3.31
3 S 0.0000 0.0000 0.0000  8 K 3.31
4 K 0.7500 0.7500 0.7500  4 S 3.31, 4 Hg 3.31

**Final energy**: -24.5017 eV/atom
**Crystal system**: cubic
**Symmetry**: Fm-3m



# 8
## Pr2Mo4O15 (meta-GGA SCAN)

Data for Pr2Mo4O15 at its PBEsol-relaxed geometry.

a b c (Å): 7.2657 7.5082 11.9596
angles (deg): 88.76 82.00 85.15
Closest atoms and distances in Å follow each position.
Atoms (fractional coordinates):
1 O 0.6297 0.9602 0.4091  1 Mo 1.77
2 O 0.3531 0.0863 0.1827  1 Mo 1.81
3 Pr 0.3226 0.9030 0.7764  7 O 2.38-2.48
4 Mo 0.9088 0.3336 0.4607  2 O 1.69-1.77
5 O 0.4096 0.2542 0.3738  1 Mo 1.77
6 O 0.1107 0.7472 0.6751  1 Mo 1.77
7 O 0.0866 0.4943 0.4038  2 Mo 1.89-2.10
8 O 0.0059 0.0074 0.8477  1 Mo 1.75
9 Mo 0.4309 0.2392 0.5193  4 O 1.73-1.82
10 Mo 0.5691 0.7608 0.4807  4 O 1.73-1.82
11 O 0.8893 0.2528 0.3249  1 Mo 1.77
12 Mo 0.7698 0.0826 0.8739  4 O 1.75-1.81
13 O 0.0548 0.4950 0.8528  1 Mo 1.75
14 Pr 0.2295 0.4000 0.2200  7 O 2.36-2.58
15 O 0.9510 0.8279 0.4867  1 Mo 1.69
16 O 0.3703 0.0398 0.5909  1 Mo 1.77
17 Pr 0.7705 0.6000 0.7800  7 O 2.36-2.58
18 O 0.3313 0.7243 0.4597  2 Mo 1.82-1.95
19 O 0.9941 0.9926 0.1523  1 Mo 1.75
20 O 0.5904 0.7458 0.6262  1 Mo 1.77
21 O 0.0490 0.1721 0.5133  1 Mo 1.69
22 Mo 0.2819 0.4185 0.8730  4 O 1.75-1.81
23 O 0.6536 0.7875 0.1933  1 Mo 1.75
24 Mo 0.0912 0.6664 0.5393  2 O 1.69-1.77
25 O 0.7046 0.5801 0.4173  1 Mo 1.73
26 O 0.2963 0.8967 0.9807  1 Mo 1.75
27 O 0.9134 0.5057 0.5962  2 Mo 1.89-2.10
28 O 0.6469 0.9137 0.8173  1 Mo 1.81
29 O 0.3464 0.2125 0.8067  1 Mo 1.75
30 O 0.7120 0.6140 0.9825  1 Mo 1.75
31 O 0.6687 0.2757 0.5403  2 Mo 1.82-1.95
32 O 0.7037 0.1033 0.0193  1 Mo 1.75
33 O 0.4321 0.5904 0.8197  1 Mo 1.81
34 O 0.7317 0.2928 0.8098  1 Mo 1.76
35 O 0.2880 0.3860 0.0175  1 Mo 1.75
36 O 0.2683 0.7072 0.1902  1 Mo 1.76
37 Mo 0.2302 0.9174 0.1261  4 O 1.75-1.81
38 Mo 0.7181 0.5815 0.1270  4 O 1.75-1.81
39 Pr 0.6774 0.0970 0.2236  7 O 2.38-2.48
40 O 0.5679 0.4096 0.1803  1 Mo 1.81
41 O 0.2954 0.4199 0.5827  1 Mo 1.73
42 O 0.9452 0.5050 0.1472  1 Mo 1.75

**Final energy**: -17.8155 eV/atom
**Crystal system**: triclinic
**Symmetry**: P-1



# 9
## Hg3ClF (meta-GGA SCAN)

Data for Hg3ClF at its PBEsol-relaxed geometry.

a b c (Å): 5.4213 5.4213 5.4213
angles (deg): 90.00 90.00 90.00
Closest atoms and distances in Å follow each position.
Atoms (fractional coordinates):
1 F 0.5000 0.5000 0.5000  12 Hg 3.83
2 Hg 0.5000 0.0000 0.0000  2 Cl 2.71
3 Hg 0.0000 0.0000 0.5000  2 Cl 2.71
4 Cl 0.0000 0.0000 0.0000  6 Hg 2.71
5 Hg 0.0000 0.5000 0.0000  2 Cl 2.71

**Final energy**: -43.0638 eV/atom
**Crystal system**: cubic
**Symmetry**: Pm-3m



# 10
## NiTeI2O (meta-GGA SCAN)

Data for NiTeI2O at its PBEsol-relaxed geometry.

a b c (Å): 3.9796 5.8775 5.8775
angles (deg): 90.00 90.00 90.00
Closest atoms and distances in Å follow each position.
Atoms (fractional coordinates):
1 Te 0.0000 0.0000 0.0000  2 O 1.99
2 I 0.0000 0.0000 0.5000  2 Te 2.94
3 I 0.0000 0.5000 0.0000  2 Te 2.94
4 O 0.5000 0.0000 0.0000  2 Te 1.99
5 Ni 0.5000 0.5000 0.5000  8 I 3.55

**Final energy**: -26.2370 eV/atom
**Crystal system**: tetragonal
**Symmetry**: P4/mmm



# 11
## Sr2PRh (meta-GGA SCAN)

Data for Sr2PRh at its PBEsol-relaxed geometry.

a b c (Å): 4.3733 4.6006 5.5077
angles (deg): 114.69 90.00 90.00
Closest atoms and distances in Å follow each position.
Atoms (fractional coordinates):
1 Rh 0.5000 0.5852 0.1704  2 P 2.34
2 Sr 0.0000 0.9783 0.9567  3 P 2.98-3.11
3 P 0.0000 0.6676 0.3351  2 Rh 2.34
4 Sr 0.5000 0.2722 0.5445  3 Rh 2.97-3.13

**Final energy**: -23.0364 eV/atom
**Energy relative to the elements**: -856 meV/atom
**Crystal system**: orthorhombic
**Symmetry**: Amm2



# 12
## TlReHg2 (meta-GGA SCAN)

Data for TlReHg2 at its PBEsol-relaxed geometry.

a b c (Å): 2.8172 2.8172 10.9427
angles (deg): 90.00 90.00 90.00
Closest atoms and distances in Å follow each position.
Atoms (fractional coordinates):
1 Hg 0.5000 0.5000 0.2853  4 Hg 2.82, 4 Re 2.96
2 Re 0.0000 0.0000 0.4859  4 Re 2.82, 4 Hg 2.96
3 Hg 0.0000 0.0000 0.0176  4 Hg 2.82
4 Tl 0.5000 0.5000 0.7113  4 Tl 2.82

**Final energy**: -69.1481 eV/atom
**Energy relative to the elements**: 799 meV/atom
**Crystal system**: tetragonal
**E above lowest polymorph**: 0.000 eV/atom
**Symmetry**: P4mm



# 13
## BaSr (meta-GGA SCAN)

Data for BaSr at its PBEsol-relaxed geometry.

a b c (Å): 7.6937 7.6937 7.6937
angles (deg): 90.00 90.00 90.00
Closest atoms and distances in Å follow each position.
Atoms (fractional coordinates):
1 Sr 0.9013 0.5987 0.4013  7 Ba 4.06-4.14
2 Ba 0.0969 0.5969 0.9031  7 Sr 4.06-4.14
3 Sr 0.0987 0.0987 0.0987  7 Ba 4.06-4.14
4 Sr 0.4013 0.9013 0.5987  7 Ba 4.06-4.14
5 Ba 0.4031 0.4031 0.4031  7 Sr 4.06-4.14
6 Sr 0.5987 0.4013 0.9013  7 Ba 4.06-4.14
7 Ba 0.5969 0.9031 0.0969  7 Sr 4.06-4.14
8 Ba 0.9031 0.0969 0.5969  7 Sr 4.06-4.14

**Final energy**: -30.8073 eV/atom
**Energy relative to the elements**: 105 meV/atom
**Crystal system**: cubic
**E above lowest polymorph**: 0.097 eV/atom
**Symmetry**: P2_13



# 14
## HgC3 (meta-GGA SCAN)

Data for HgC3 at its PBEsol-relaxed geometry.

a b c (Å): 3.1991 3.1991 4.5939
angles (deg): 90.00 90.00 90.00
Closest atoms and distances in Å follow each position.
Atoms (fractional coordinates):
1 C 0.0000 0.0000 0.8570  1 C 1.31
2 C 0.5000 0.5000 0.0000  2 Hg 2.30, 8 C 2.36
3 Hg 0.5000 0.5000 0.5000  2 C 2.30
4 C 0.0000 0.0000 0.1430  1 C 1.31

**Final energy**: -21.9156 eV/atom
**Energy relative to the elements**: 2701 meV/atom
**Crystal system**: tetragonal
**E above lowest polymorph**: 1.954 eV/atom
**Symmetry**: P4/mmm



# 15
## Gd3SbO7 (meta-GGA SCAN)

Data for Gd3SbO7 at its PBEsol-relaxed geometry.

a b c (Å): 6.4399 6.4682 7.5745
angles (deg): 73.12 89.86 81.98
Closest atoms and distances in Å follow each position.
Atoms (fractional coordinates):
1 Gd 0.7362 0.5348 0.1172  7 O 2.30-2.49
2 O 0.9243 0.3206 0.9537  1 Sb 1.99
3 O 0.7101 0.9328 0.0466  1 Sb 1.98
4 O 0.2899 0.0672 0.9534  1 Sb 1.98
5 Gd 0.2638 0.4652 0.8828  7 O 2.30-2.49
6 Gd 0.7410 0.5234 0.6158  4 O 2.23-2.45
7 O 0.7123 0.9334 0.4853  1 Sb 1.97
8 O 0.4406 0.3549 0.1660  4 Gd 2.21-2.34
9 O 0.5481 0.6368 0.3445  4 Gd 2.21-2.30
10 O 0.5594 0.6451 0.8340  4 Gd 2.21-2.34
11 O 0.4519 0.3632 0.6555  4 Gd 2.21-2.30
12 O 0.9276 0.3289 0.3882  1 Sb 2.03
13 Gd 0.4599 0.9954 0.2522  7 O 2.21-2.42
14 O 0.0977 0.9303 0.2680  2 Sb 2.02-2.03
15 O 0.2877 0.0666 0.5147  1 Sb 1.97
16 O 0.0757 0.6794 0.0463  1 Sb 1.99
17 O 0.0724 0.6711 0.6118  1 Sb 2.03
18 Sb 0.0000 0.0000 0.5000  6 O 1.97-2.03
19 Gd 0.2590 0.4766 0.3842  4 O 2.23-2.45
20 Sb 0.0000 0.0000 0.0000  6 O 1.98-2.03
21 Gd 0.5401 0.0046 0.7478  7 O 2.21-2.42
22 O 0.9023 0.0697 0.7320  2 Sb 2.02-2.03

**Final energy**: -26.5444 eV/atom
**Crystal system**: triclinic
**E above lowest polymorph**: 0.006 eV/atom
**Symmetry**: P-1



# 16
## Zn2FeSe (meta-GGA SCAN)

Data for Zn2FeSe at its PBEsol-relaxed geometry.

a b c (Å): 2.7731 3.9704 5.8010
angles (deg): 90.00 103.93 90.00
Closest atoms and distances in Å follow each position.
Atoms (fractional coordinates):
1 Fe 0.3503 0.0000 0.5776  6 Zn 2.51-2.57, 2 Se 2.64, 2 Fe 2.77
2 Zn 0.9089 0.5000 0.6933  4 Zn 2.49-2.77, 4 Fe 2.51, 2 Se 2.76-2.77
3 Se 0.1972 0.5000 0.2681  4 Zn 2.63-2.77, 2 Fe 2.64, 2 Se 2.77
4 Zn 0.0437 0.0000 0.9610  4 Zn 2.49-2.77, 2 Fe 2.57, 2 Se 2.63

**Final energy**: -16.1747 eV/atom
**Crystal system**: monoclinic
**Symmetry**: Pm



# 17
## RbMoO3 (meta-GGA SCAN)

Data for RbMoO3 at its PBEsol-relaxed geometry.

a b c (Å): 4.2618 4.2618 4.2618
angles (deg): 90.00 90.00 90.00
Closest atoms and distances in Å follow each position.
Atoms (fractional coordinates):
1 O 0.0000 0.0000 0.5000  2 Rb 2.13
2 O 0.5000 0.0000 0.0000  2 Rb 2.13
3 O 0.0000 0.5000 0.0000  2 Rb 2.13
4 Rb 0.0000 0.0000 0.0000  6 O 2.13
5 Mo 0.5000 0.5000 0.5000  12 O 3.01

**Final energy**: -13.4854 eV/atom
**Crystal system**: cubic
**Symmetry**: Pm-3m



# 18
## SbPt3I (meta-GGA SCAN)

Data for SbPt3I at its PBEsol-relaxed geometry.

a b c (Å): 4.9333 4.9333 4.9333
angles (deg): 90.00 90.00 90.00
Closest atoms and distances in Å follow each position.
Atoms (fractional coordinates):
1 I 0.0000 0.0000 0.0000  6 Pt 2.47
2 Sb 0.5000 0.5000 0.5000  12 Pt 3.49
3 Pt 0.0000 0.5000 0.0000  2 I 2.47
4 Pt 0.5000 0.0000 0.0000  2 I 2.47
5 Pt 0.0000 0.0000 0.5000  2 I 2.47

**Final energy**: -55.7673 eV/atom
**Crystal system**: cubic
**Symmetry**: Pm-3m



# 19
## LuMo6S8 (meta-GGA SCAN)

Data for LuMo6S8 at its PBEsol-relaxed geometry.

a b c (Å): 6.3609 6.3609 6.3609
angles (deg): 89.24 89.24 89.24
Closest atoms and distances in Å follow each position.
Atoms (fractional coordinates):
1 S 0.2356 0.2356 0.2356  3 Mo 2.39, 1 Lu 2.63
2 S 0.8720 0.2424 0.6337  4 Mo 2.41-2.53
3 Mo 0.2197 0.4204 0.5599  5 S 2.39-2.53, 2 Mo 2.65
4 Mo 0.4204 0.5599 0.2197  5 S 2.39-2.53, 2 Mo 2.65
5 S 0.1280 0.7576 0.3663  4 Mo 2.41-2.53
6 S 0.3663 0.1280 0.7576  4 Mo 2.41-2.53
7 S 0.2424 0.6337 0.8720  4 Mo 2.41-2.53
8 Mo 0.5599 0.2197 0.4204  5 S 2.39-2.53, 2 Mo 2.65
9 Mo 0.7803 0.5796 0.4401  5 S 2.39-2.53, 2 Mo 2.65
10 Lu 0.0000 0.0000 0.0000  8 S 2.63-2.90
11 S 0.7644 0.7644 0.7644  3 Mo 2.39, 1 Lu 2.63
12 Mo 0.4401 0.7803 0.5796  5 S 2.39-2.53, 2 Mo 2.65
13 S 0.7576 0.3663 0.1280  4 Mo 2.41-2.53
14 Mo 0.5796 0.4401 0.7803  5 S 2.39-2.53, 2 Mo 2.65
15 S 0.6337 0.8720 0.2424  4 Mo 2.41-2.53

**Final energy**: -23.7676 eV/atom
**Crystal system**: trigonal
**Symmetry**: R-3



# 20
## Be2AlTc (meta-GGA SCAN)

Data for Be2AlTc at its PBEsol-relaxed geometry.

a b c (Å): 3.4263 3.4263 4.5116
angles (deg): 112.32 112.32 90.00
Closest atoms and distances in Å follow each position.
Atoms (fractional coordinates):
1 Be 0.7500 0.2500 0.5000  4 Be 2.42, 4 Tc 2.56, 4 Al 2.56
2 Be 0.2500 0.7500 0.5000  4 Be 2.42, 4 Tc 2.56, 4 Al 2.56
3 Al 0.0000 0.0000 0.0000  4 Tc 2.42, 8 Be 2.56
4 Tc 0.5000 0.5000 0.0000  4 Al 2.42, 8 Be 2.56

**Final energy**: -13.1914 eV/atom
**Energy relative to the elements**: -312 meV/atom
**Crystal system**: tetragonal
**Symmetry**: I4/mmm